Entry from Alexandria via LeMat-Bulk: NiAgF6 after structural relaxation (GGA+U). Values from VASP.

```
&SYSTEM
  ibrav = 0, nat = 16, ntyp = 3
/
ATOMIC_SPECIES
Ni 58.69 Ni.upf
Ag 107.87 Ag.upf
F 19.00 F.upf
ATOMIC_POSITIONS angstrom
Ni 1.426 -2.186 -0.797
Ni -3.581 -2.685 0.956
Ag -0.292 -4.269 1.844
Ag -1.864 -0.602 -1.685
F -1.565 -5.634 2.698
F 1.429 -4.007 -1.524
F 0.151 -5.615 0.382
F -0.492 -2.037 -1.237
F -1.836 -3.543 0.706
F -3.839 -3.689 2.639
F -0.472 -6.052 -2.320
F -2.475 -6.198 -0.388
F -3.819 -7.704 1.556
F -5.740 -5.734 1.843
F -4.462 -4.126 -0.063
F -2.746 -4.107 -2.380
CELL_PARAMETERS angstrom
-3.728 -1.203 -3.370
2.852 -4.372 -1.594
-3.435 -4.167 5.282
```

Calculated values
crystal system: monoclinic
uncorrected energy: -3.371 eV/atom